# PBE LaMn2W, optimized geometry
data_LaMn2W
_chemical_formula_sum 'La3 Mn6 W3'
_space_group_name_H-M_alt 'R -3 m'
_space_group_IT_number 166
_space_group_name_Hall '-R 3 2"'
_cell_length_a 4.1996
_cell_length_b 4.1996
_cell_length_c 16.0631
_cell_angle_alpha 90.00
_cell_angle_beta 90.00
_cell_angle_gamma 120.00
loop_
_atom_site_label
_atom_site_type_symbol
_atom_site_fract_x
_atom_site_fract_y
_atom_site_fract_z
_atom_site_occupancy
La1 La 0.0000 0.0000 0.0000 1
Mn1 Mn 0.0000 0.0000 0.1990 1
W1 W 0.0000 0.0000 0.5000 1
# uncorrected energy	-8.738	eV per atom
# energy of formation from the pure elements	0.317	eV/atom
# M_tot	0.823	μB/atom
# ΔE to the lowest computed polymorph	26.9	meV per atom